[1]
Here is a geometry-optimized TlAg2I2 structure from the Alexandria database. Energies are from PBE-GGA. Values from VASP.

Geometry as Quantum ESPRESSO input:
```
&SYSTEM
  ibrav = 0, nat = 10, ntyp = 3
/
ATOMIC_SPECIES
Tl 204.38 Tl.upf
Ag 107.87 Ag.upf
I 126.90 I.upf
CELL_PARAMETERS angstrom
8.901 0.000 0.000
0.000 8.901 0.000
0.000 0.000 3.914
ATOMIC_POSITIONS angstrom
Tl 0.000 0.000 0.000
Tl 4.451 4.451 0.000
Ag 1.053 3.398 1.957
Ag 3.398 7.849 1.957
Ag 5.503 1.053 1.957
Ag 7.849 5.503 1.957
I 1.512 5.962 0.000
I 2.939 1.512 0.000
I 5.962 7.389 0.000
I 7.389 2.939 0.000
```

Results
**DOS at the Fermi energy**: 1.825 states/eV/f.u.
**Energy above the most stable polymorph in this dataset**: 131 meV/atom



[2]
Here is a geometry-optimized TlAg2I2 structure from the Alexandria database. Energies are from PBE-GGA. Values from VASP.

Geometry as Quantum ESPRESSO input:
```
&SYSTEM
  ibrav = 0, nat = 5, ntyp = 3
/
ATOMIC_SPECIES
Tl 204.38 Tl.upf
Ag 107.87 Ag.upf
I 126.90 I.upf
CELL_PARAMETERS angstrom
-2.956 2.956 4.563
2.956 -2.956 4.563
2.956 2.956 -4.563
ATOMIC_POSITIONS angstrom
Tl 0.000 0.000 0.000
Ag 0.000 0.000 3.144
Ag 0.000 0.000 5.982
I 2.956 0.000 2.282
I 0.000 2.956 2.282
```

Results
**DOS at the Fermi energy**: 3.011 states/eV/f.u.
**Energy above the most stable polymorph in this dataset**: 37 meV/atom



[3]
Here is a geometry-optimized TlAg2I2 structure from the Alexandria database. Energies are from PBE-GGA. Values from VASP.

Geometry as Quantum ESPRESSO input:
```
&SYSTEM
  ibrav = 0, nat = 10, ntyp = 3
/
ATOMIC_SPECIES
Tl 204.38 Tl.upf
Ag 107.87 Ag.upf
I 126.90 I.upf
CELL_PARAMETERS angstrom
8.370 0.000 0.000
0.000 8.370 0.000
0.000 0.000 4.215
ATOMIC_POSITIONS angstrom
Tl 0.000 0.000 0.000
Tl 4.185 4.185 0.000
Ag 0.984 3.201 0.000
Ag 3.201 7.386 0.000
Ag 5.169 0.984 0.000
Ag 7.386 5.169 0.000
I 1.636 5.821 2.108
I 2.549 1.636 2.108
I 5.821 6.734 2.108
I 6.734 2.549 2.108
```

Results
**DOS at the Fermi energy**: 1.865 states/eV/f.u.
**Energy above the most stable polymorph in this dataset**: 36 meV/atom



[4]
Here is a geometry-optimized TlAg3I6 structure from the Alexandria database. Energies are from PBE-GGA. Values from VASP.

Geometry as Quantum ESPRESSO input:
```
&SYSTEM
  ibrav = 0, nat = 10, ntyp = 3
/
ATOMIC_SPECIES
Tl 204.38 Tl.upf
Ag 107.87 Ag.upf
I 126.90 I.upf
CELL_PARAMETERS angstrom
5.197 -7.700 0.000
5.197 7.700 0.000
0.000 0.000 4.753
ATOMIC_POSITIONS angstrom
Tl 0.000 0.000 0.000
Ag 2.599 3.850 2.376
Ag 2.599 -3.850 2.376
Ag 5.197 0.000 0.000
I 5.197 5.021 2.376
I 3.191 1.924 0.000
I 3.191 -1.924 0.000
I 7.204 1.924 0.000
I 7.204 -1.924 0.000
I 5.197 -5.021 2.376
```

Results
**DOS at the Fermi energy**: 4.228 states/eV/f.u.
**Energy**: -2.23 eV per atom



[5]
Here is a geometry-optimized Tl4AgI6 structure from the Alexandria database. Energies are from PBE-GGA. Values from VASP.

Geometry as Quantum ESPRESSO input:
```
&SYSTEM
  ibrav = 0, nat = 22, ntyp = 3
/
ATOMIC_SPECIES
Tl 204.38 Tl.upf
Ag 107.87 Ag.upf
I 126.90 I.upf
CELL_PARAMETERS angstrom
9.511 0.000 0.000
0.000 9.511 0.000
0.000 0.000 9.345
ATOMIC_POSITIONS angstrom
Tl 1.466 3.289 2.336
Tl 1.466 3.289 7.009
Tl 3.289 8.045 2.336
Tl 3.289 8.045 7.009
Tl 6.221 1.466 2.336
Tl 6.221 1.466 7.009
Tl 8.045 6.221 2.336
Tl 8.045 6.221 7.009
Ag 0.000 0.000 0.000
Ag 4.755 4.755 4.673
I 0.000 0.000 2.830
I 0.000 0.000 6.515
I 1.214 6.598 0.000
I 1.843 5.970 4.673
I 2.913 1.214 0.000
I 3.541 1.843 4.673
I 4.755 4.755 1.842
I 4.755 4.755 7.503
I 5.970 7.668 4.673
I 6.598 8.296 0.000
I 7.668 3.541 4.673
I 8.296 2.913 0.000
```

Results
**DOS at the Fermi energy**: 3.747 states/eV/f.u.
**Energy**: -2.45 eV per atom



[6]
Here is a geometry-optimized Tl3AgI4 structure from the Alexandria database. Energies are from PBE-GGA. Values from VASP.

Geometry as Quantum ESPRESSO input:
```
&SYSTEM
  ibrav = 0, nat = 16, ntyp = 3
/
ATOMIC_SPECIES
Tl 204.38 Tl.upf
Ag 107.87 Ag.upf
I 126.90 I.upf
CELL_PARAMETERS angstrom
9.875 0.000 0.000
0.000 10.573 0.000
0.000 0.000 7.010
ATOMIC_POSITIONS angstrom
Tl 0.000 0.987 0.000
Tl 1.916 3.678 3.485
Tl 3.022 6.894 6.990
Tl 4.938 9.586 3.505
Tl 6.854 6.894 6.990
Tl 7.959 3.678 3.485
Ag 0.000 8.388 4.015
Ag 4.938 2.184 0.510
I 0.000 0.640 3.486
I 0.000 8.092 6.942
I 2.425 3.462 6.938
I 2.513 7.111 3.433
I 4.938 2.481 3.437
I 4.938 9.933 6.991
I 7.362 7.111 3.433
I 7.451 3.462 6.938
```

Results
**DOS at the Fermi energy**: 0.000 states/eV/f.u.
**Energy above the most stable polymorph in this dataset**: 16 meV/atom



[7]
Here is a geometry-optimized Tl3AgI6 structure from the Alexandria database. Energies are from PBE-GGA. Values from VASP.

Geometry as Quantum ESPRESSO input:
```
&SYSTEM
  ibrav = 0, nat = 20, ntyp = 3
/
ATOMIC_SPECIES
Tl 204.38 Tl.upf
Ag 107.87 Ag.upf
I 126.90 I.upf
CELL_PARAMETERS angstrom
7.759 0.000 0.000
0.000 8.705 0.000
-7.382 0.000 11.757
ATOMIC_POSITIONS angstrom
Tl 0.000 0.000 0.000
Tl -3.691 4.353 5.878
Tl -3.224 0.972 8.906
Tl 0.467 3.380 3.028
Tl -0.091 5.325 8.729
Tl 3.600 7.733 2.851
Ag 0.188 0.000 5.878
Ag 3.879 4.353 0.000
I -0.691 0.030 2.955
I -4.382 4.323 8.833
I 1.507 5.866 0.555
I -2.184 7.192 6.433
I 2.512 1.634 0.522
I -1.179 2.719 6.400
I 1.555 5.987 5.357
I -2.136 7.071 11.235
I 2.560 1.514 5.324
I -1.131 2.839 11.202
I 4.758 4.383 2.924
I 1.067 8.675 8.802
```

Results
**DOS at the Fermi energy**: 0.197 states/eV/f.u.
**Energy**: -2.32 eV per atom



[8]
Here is a geometry-optimized TlAg2I2 structure from the Alexandria database. Energies are from PBE-GGA. Values from VASP.

Geometry as Quantum ESPRESSO input:
```
&SYSTEM
  ibrav = 0, nat = 5, ntyp = 3
/
ATOMIC_SPECIES
Tl 204.38 Tl.upf
Ag 107.87 Ag.upf
I 126.90 I.upf
CELL_PARAMETERS angstrom
-2.094 2.094 8.972
2.094 -2.094 8.972
2.094 2.094 -8.972
ATOMIC_POSITIONS angstrom
Tl 0.000 0.000 0.000
Ag 2.094 0.000 4.486
Ag 0.000 2.094 4.486
I 0.000 0.000 6.866
I 0.000 0.000 11.078
```

Results
**DOS at the Fermi energy**: 1.806 states/eV/f.u.
**Energy above the most stable polymorph in this dataset**: 0 meV/atom



[9]
Here is a geometry-optimized Tl4AgI5 structure from the Alexandria database. Energies are from PBE-GGA. Values from VASP.

Geometry as Quantum ESPRESSO input:
```
&SYSTEM
  ibrav = 0, nat = 10, ntyp = 3
/
ATOMIC_SPECIES
Tl 204.38 Tl.upf
Ag 107.87 Ag.upf
I 126.90 I.upf
CELL_PARAMETERS angstrom
-5.410 5.410 3.520
5.410 -5.410 3.520
5.410 5.410 -3.520
ATOMIC_POSITIONS angstrom
Tl 3.286 0.978 0.000
Tl 4.431 -2.124 3.520
Tl 0.978 7.533 0.000
Tl 2.124 4.431 3.520
Ag 0.000 0.000 4.013
I 6.451 2.541 -0.026
I 2.541 4.368 -0.026
I 2.869 1.042 3.494
I -1.042 2.869 3.494
I 0.000 0.000 6.933
```

Results
**DOS at the Fermi energy**: 0.000 states/eV/f.u.
**Energy**: -2.56 eV per atom



[10]
Here is a geometry-optimized Tl2AgI3 structure from the Alexandria database. Energies are from PBE-GGA. Values from VASP.

Geometry as Quantum ESPRESSO input:
```
&SYSTEM
  ibrav = 0, nat = 12, ntyp = 3
/
ATOMIC_SPECIES
Tl 204.38 Tl.upf
Ag 107.87 Ag.upf
I 126.90 I.upf
CELL_PARAMETERS angstrom
7.903 -5.090 0.000
7.903 5.090 0.000
0.000 0.000 7.114
ATOMIC_POSITIONS angstrom
Tl 5.369 3.427 3.557
Tl 10.438 3.427 3.557
Tl 5.369 -3.427 0.000
Tl 10.438 -3.427 0.000
Ag 7.903 1.617 0.575
Ag 7.903 -1.617 4.132
I 5.591 3.208 7.066
I 10.216 3.208 7.066
I 7.903 1.166 3.433
I 7.903 -1.166 6.990
I 5.591 -3.208 3.509
I 10.216 -3.208 3.509
```

Results
**DOS at the Fermi energy**: 0.000 states/eV/f.u.
**Energy above the most stable polymorph in this dataset**: 33 meV/atom



[11]
Here is a geometry-optimized Tl2AgI3 structure from the Alexandria database. Energies are from PBE-GGA. Values from VASP.

Geometry as Quantum ESPRESSO input:
```
&SYSTEM
  ibrav = 0, nat = 18, ntyp = 3
/
ATOMIC_SPECIES
Tl 204.38 Tl.upf
Ag 107.87 Ag.upf
I 126.90 I.upf
CELL_PARAMETERS angstrom
5.341 3.084 6.691
-5.341 3.084 6.691
0.000 -6.168 6.691
ATOMIC_POSITIONS angstrom
Tl -1.791 -2.425 8.234
Tl -2.996 0.339 11.839
Tl -1.205 2.764 8.234
Tl 1.205 -2.764 11.839
Tl 2.996 -0.339 8.234
Tl 1.791 2.425 11.839
Ag 0.000 0.000 0.000
Ag 0.000 0.000 3.118
Ag 0.000 0.000 16.955
I -4.048 0.835 8.482
I -2.747 -3.088 11.590
I 0.000 0.000 5.914
I 1.301 -3.923 8.482
I 0.000 0.000 10.036
I -1.301 3.923 11.590
I 0.000 0.000 14.159
I 2.747 3.088 8.482
I 4.048 -0.835 11.590
```

Results
**DOS at the Fermi energy**: 0.000 states/eV/f.u.
**Energy above the most stable polymorph in this dataset**: 19 meV/atom



[12]
Here is a geometry-optimized Tl2Ag2I5 structure from the Alexandria database. Energies are from PBE-GGA. Values from VASP.

Geometry as Quantum ESPRESSO input:
```
&SYSTEM
  ibrav = 0, nat = 18, ntyp = 3
/
ATOMIC_SPECIES
Tl 204.38 Tl.upf
Ag 107.87 Ag.upf
I 126.90 I.upf
CELL_PARAMETERS angstrom
-10.100 4.364 4.056
10.100 -4.364 4.056
10.100 4.364 -4.056
ATOMIC_POSITIONS angstrom
Tl 2.026 0.426 0.000
Tl 8.074 0.426 0.000
Tl 2.026 3.938 4.056
Tl 8.074 3.938 4.056
Ag 5.050 -0.945 3.609
Ag 0.000 4.364 0.303
Ag 0.000 0.000 4.359
Ag 5.050 5.309 -0.446
I 10.575 2.290 -1.798
I 9.626 -2.074 2.257
I 15.150 0.857 0.760
I 2.838 3.788 0.540
I 7.263 3.788 0.540
I -0.475 2.074 2.257
I 10.575 2.074 2.257
I 2.838 0.577 4.595
I 7.263 0.577 4.595
I -5.050 3.507 4.816
```

Results
**DOS at the Fermi energy**: 6.875 states/eV/f.u.
**Energy**: -2.38 eV per atom



[13]
Here is a geometry-optimized UTlAgI6 structure from the Alexandria database. Energies are from PBE-GGA. Values from VASP.

Geometry as Quantum ESPRESSO input:
```
&SYSTEM
  ibrav = 0, nat = 18, ntyp = 4
/
ATOMIC_SPECIES
U 238.03 U.upf
Tl 204.38 Tl.upf
Ag 107.87 Ag.upf
I 126.90 I.upf
CELL_PARAMETERS angstrom
7.792 0.000 0.000
-3.896 6.748 0.000
0.000 0.000 15.492
ATOMIC_POSITIONS angstrom
U 0.000 4.499 3.873
U 3.896 2.249 11.619
Tl 0.000 0.000 0.000
Tl 0.000 0.000 7.746
Ag 0.000 4.499 11.619
Ag 3.896 2.249 3.873
I -1.375 2.452 2.114
I -2.460 4.332 5.633
I 1.375 2.452 5.633
I -1.085 6.713 2.114
I 2.811 0.036 9.860
I 1.436 2.417 13.379
I 2.460 4.332 2.114
I 1.085 6.713 5.633
I 4.982 0.036 13.379
I 2.522 4.296 9.860
I 6.356 2.417 9.860
I 5.271 4.296 13.379
```

Results
**DOS at the Fermi energy**: 10.726 states/eV/f.u.
**Energy**: -3.50 eV per atom



[14]
Here is a geometry-optimized TlVAgI6 structure from the Alexandria database. Energies are from PBE-GGA. Values from VASP.

Geometry as Quantum ESPRESSO input:
```
&SYSTEM
  ibrav = 0, nat = 9, ntyp = 4
/
ATOMIC_SPECIES
Tl 204.38 Tl.upf
V 50.94 V.upf
Ag 107.87 Ag.upf
I 126.90 I.upf
CELL_PARAMETERS angstrom
3.774 -6.543 0.000
3.774 6.543 0.000
-0.008 0.000 7.231
ATOMIC_POSITIONS angstrom
Tl 0.000 0.000 0.000
V 3.770 2.180 3.616
Ag 3.770 -2.180 3.616
I 1.538 2.354 2.017
I 2.503 4.031 5.211
I 2.801 0.161 5.212
I 5.037 4.031 2.020
I 4.739 0.161 2.019
I 6.002 2.354 5.214
```

Results
**DOS at the Fermi energy**: 10.388 states/eV/f.u.
**Energy**: -2.98 eV per atom



[15]
Here is a geometry-optimized Tl2VAgI6 structure from the Alexandria database. Energies are from PBE-GGA. Values from VASP.

Geometry as Quantum ESPRESSO input:
```
&SYSTEM
  ibrav = 0, nat = 10, ntyp = 4
/
ATOMIC_SPECIES
Tl 204.38 Tl.upf
V 50.94 V.upf
Ag 107.87 Ag.upf
I 126.90 I.upf
CELL_PARAMETERS angstrom
4.116 2.376 6.770
-4.116 2.376 6.770
0.000 -4.752 6.770
ATOMIC_POSITIONS angstrom
Tl 0.000 0.000 0.000
Tl 0.000 0.000 9.526
V 0.000 0.000 15.668
Ag 0.000 0.000 3.599
I -1.890 -1.899 7.385
I -3.346 -0.279 10.675
I -0.700 2.586 7.385
I 1.915 -2.758 10.675
I 2.590 -0.687 7.385
I 1.431 3.037 10.675
```

Results
**DOS at the Fermi energy**: 9.009 states/eV/f.u.
**Energy**: -3.05 eV per atom



[16]
Here is a geometry-optimized TlAgWI2 structure from the Alexandria database. Energies are from PBE-GGA. Values from VASP.

Geometry as Quantum ESPRESSO input:
```
&SYSTEM
  ibrav = 0, nat = 5, ntyp = 4
/
ATOMIC_SPECIES
Tl 204.38 Tl.upf
Ag 107.87 Ag.upf
W 183.84 W.upf
I 126.90 I.upf
CELL_PARAMETERS angstrom
5.782 0.000 0.000
0.000 5.782 0.000
0.000 0.000 5.568
ATOMIC_POSITIONS angstrom
Tl 0.000 0.000 0.000
Ag 0.000 0.000 2.784
W 2.891 2.891 0.000
I 0.000 2.891 2.784
I 2.891 0.000 2.784
```

Results
**DOS at the Fermi energy**: 4.409 states/eV/f.u.
**Energy**: -2.93 eV per atom



[17]
Here is a geometry-optimized YTl2AgI6 structure from the Alexandria database. Energies are from PBE-GGA. Values from VASP.

Geometry as Quantum ESPRESSO input:
```
&SYSTEM
  ibrav = 0, nat = 20, ntyp = 4
/
ATOMIC_SPECIES
Y 88.91 Y.upf
Tl 204.38 Tl.upf
Ag 107.87 Ag.upf
I 126.90 I.upf
CELL_PARAMETERS angstrom
8.059 0.000 0.000
0.000 8.618 0.000
-7.910 0.000 11.511
ATOMIC_POSITIONS angstrom
Y 0.000 0.000 0.000
Y -3.955 4.309 5.755
Tl -3.634 0.816 8.699
Tl 0.321 3.494 2.944
Tl -0.171 5.125 8.567
Tl 3.784 7.803 2.812
Ag 0.075 0.000 5.755
Ag 4.030 4.309 0.000
I -0.880 0.185 2.912
I -4.835 4.124 8.668
I 1.480 6.017 0.607
I -2.475 6.910 6.363
I 2.501 1.627 0.606
I -1.454 2.682 6.361
I 1.603 5.936 5.150
I -2.352 6.991 10.905
I 2.625 1.708 5.148
I -1.330 2.601 10.903
I 4.985 4.494 2.843
I 1.030 8.433 8.598
```

Results
**DOS at the Fermi energy**: 0.000 states/eV/f.u.
**Energy**: -3.19 eV per atom



[18]
Here is a geometry-optimized YTlAg2I6 structure from the Alexandria database. Energies are from PBE-GGA. Values from VASP.

Geometry as Quantum ESPRESSO input:
```
&SYSTEM
  ibrav = 0, nat = 10, ntyp = 4
/
ATOMIC_SPECIES
Y 88.91 Y.upf
Tl 204.38 Tl.upf
Ag 107.87 Ag.upf
I 126.90 I.upf
CELL_PARAMETERS angstrom
7.881 0.000 0.000
3.940 6.830 0.000
0.001 4.550 7.239
ATOMIC_POSITIONS angstrom
Y 0.000 0.000 0.000
Tl 7.879 9.104 3.956
Ag 3.938 2.283 0.036
Ag 7.884 4.558 3.311
I 1.274 2.305 1.584
I 2.350 4.962 5.350
I 5.299 4.577 1.587
I 6.350 6.386 5.356
I 9.189 6.781 1.585
I 11.000 9.143 5.350
```

Results
**DOS at the Fermi energy**: 0.000 states/eV/f.u.
**Energy**: -3.12 eV per atom



[19]
Here is a geometry-optimized TlZnAgI2 structure from the Alexandria database. Energies are from PBE-GGA. Values from VASP.

Geometry as Quantum ESPRESSO input:
```
&SYSTEM
  ibrav = 0, nat = 5, ntyp = 4
/
ATOMIC_SPECIES
Tl 204.38 Tl.upf
Zn 65.41 Zn.upf
Ag 107.87 Ag.upf
I 126.90 I.upf
CELL_PARAMETERS angstrom
5.770 0.000 0.000
0.000 5.770 0.000
0.000 0.000 5.859
ATOMIC_POSITIONS angstrom
Tl 0.000 0.000 0.000
Zn 2.885 2.885 0.000
Ag 0.000 0.000 2.929
I 0.000 2.885 2.929
I 2.885 0.000 2.929
```

Results
**DOS at the Fermi energy**: 0.639 states/eV/f.u.
**Energy**: -1.88 eV per atom



[20]
Here is a geometry-optimized ZrTlAgI6 structure from the Alexandria database. Energies are from PBE-GGA. Values from VASP.

Geometry as Quantum ESPRESSO input:
```
&SYSTEM
  ibrav = 0, nat = 18, ntyp = 4
/
ATOMIC_SPECIES
Zr 91.22 Zr.upf
Tl 204.38 Tl.upf
Ag 107.87 Ag.upf
I 126.90 I.upf
CELL_PARAMETERS angstrom
7.762 0.000 0.000
-3.881 6.722 0.000
0.000 0.000 14.901
ATOMIC_POSITIONS angstrom
Zr 0.000 4.481 3.725
Zr 3.881 2.241 11.175
Tl 0.000 0.000 0.000
Tl 0.000 0.000 7.450
Ag 0.000 4.481 11.175
Ag 3.881 2.241 3.725
I -1.332 2.540 2.050
I -2.347 4.298 5.400
I 1.332 2.540 5.400
I -1.015 6.605 2.050
I 2.866 0.117 9.500
I 1.534 2.424 12.851
I 2.347 4.298 2.050
I 1.015 6.605 5.400
I 4.896 0.117 12.851
I 2.549 4.181 9.500
I 6.228 2.424 9.500
I 5.213 4.181 12.851
```

Results
**Energy**: -3.24 eV per atom